1.
VASP calculation (PBE) on a geometry-optimized Ho2ThAl2 structure.

Lattice parameters (Å, degrees): 3.6607 5.5942 13.2637 97.22 90.00 90.00
Last column: nearest neighbours and their distance in Å.
Positions (direct):
Ho 0.2500 0.8446 0.8895  5 Al 2.87-3.02
Ho 0.7500 0.1554 0.1105  5 Al 2.87-3.02
Ho 0.2500 0.2609 0.5354  4 Al 3.16-3.27, 4 Ho 3.47, 2 Th 3.51
Ho 0.7500 0.7391 0.4646  4 Al 3.16-3.27, 4 Ho 3.47, 2 Th 3.51
Th 0.2500 0.6923 0.2376  4 Al 3.18-3.53, 2 Ho 3.51
Th 0.7500 0.3077 0.7624  4 Al 3.18-3.53, 2 Ho 3.51
Al 0.2500 0.7929 0.6604  5 Ho 3.02-3.27
Al 0.7500 0.2071 0.3396  5 Ho 3.02-3.27
Al 0.2500 0.3516 0.9599  2 Al 2.61, 1 Ho 2.87
Al 0.7500 0.6484 0.0401  2 Al 2.61, 1 Ho 2.87

Results
space-group type = No. 11
DFT total energy = -4.92 eV per atom

2.
VASP calculation (PBE) on a geometry-optimized HoThTiAl structure.

Lattice parameters (Å, degrees): 5.1415 5.1415 5.1415 60.00 60.00 60.00
Last column: nearest neighbours and their distance in Å.
Positions (direct):
Al 0.7500 0.7500 0.7500  4 Th 3.15, 4 Ho 3.15
Ho 0.0000 0.0000 0.0000  4 Al 3.15, 4 Ti 3.15
Th 0.5000 0.5000 0.5000  4 Ti 3.15, 4 Al 3.15
Ti 0.2500 0.2500 0.2500  4 Th 3.15, 4 Ho 3.15

Results
space-group type = No. 216
DFT total energy = -5.91 eV per atom